No. 1
# TbMgCu2Ge2

A relaxed TbMgCu2Ge2 crystal (PBE-GGA, Alexandria).

Values from the calculation:
Calculated total energy ... -4.417 eV per atom
ρ ... 7.192 g/cm3
Energy of formation from the pure elements ... -0.47 eV per atom
Size of the total moment ... 0.0 μB per formula unit
Volume ... 17.532 Å³/atom
D(E_F) ... 1.99 states/eV per cell

Cell: 4.2165 4.2165 6.8320 Å, 90.00 90.00 120.00°
Sites, in units of the cell vectors:
1 Tb 0.0000 0.0000 0.5000
2 Mg 0.0000 0.0000 0.0000
3 Cu 0.3333 0.6667 0.8052
4 Cu 0.6667 0.3333 0.1948
5 Ge 0.3333 0.6667 0.2425
6 Ge 0.6667 0.3333 0.7575


No. 2
# ThMgCuGe

A relaxed ThMgCuGe crystal (PBE-GGA, Alexandria).

Values from the calculation:
Calculated total energy ... -4.697 eV per atom
ρ ... 7.751 g/cm3
Energy of formation from the pure elements ... -0.26 eV per atom
Size of the total moment ... 0.0 μB per formula unit
Volume ... 21.025 Å³/atom
D(E_F) ... 4.17 states/eV per cell

Cell: 4.9178 4.9178 4.9178 Å, 60.00 60.00 60.00°
Sites, in units of the cell vectors:
1 Mg 0.0000 0.0000 0.0000
2 Ge 0.2500 0.2500 0.2500
3 Cu 0.7500 0.7500 0.7500
4 Th 0.5000 0.5000 0.5000


No. 3
# TmMg2Cu2Ge2

A relaxed TmMg2Cu2Ge2 crystal (PBE-GGA, Alexandria).

Values from the calculation:
Calculated total energy ... -3.954 eV per atom
ρ ... 6.486 g/cm3
Energy of formation from the pure elements ... -0.37 eV per atom
Size of the total moment ... 0.0 μB per formula unit
Volume ... 17.917 Å³/atom
D(E_F) ... 1.38 states/eV per cell

Cell: 4.2491 4.2491 8.3879 Å, 75.33 75.33 60.00°
Sites, in units of the cell vectors:
1 Tm 0.0000 0.0000 0.0000
2 Mg 0.1337 0.1337 0.5990
3 Mg 0.8663 0.8663 0.4010
4 Cu 0.5876 0.5876 0.2371
5 Cu 0.4124 0.4124 0.7629
6 Ge 0.7416 0.7416 0.7753
7 Ge 0.2584 0.2584 0.2247


No. 4
# YMgCu2Ge2

A relaxed YMgCu2Ge2 crystal (PBE-GGA, Alexandria).

Values from the calculation:
Calculated total energy ... -4.721 eV per atom
ρ ... 6.100 g/cm3
Energy of formation from the pure elements ... -0.47 eV per atom
Size of the total moment ... 0.0 μB per formula unit
Volume ... 17.495 Å³/atom
D(E_F) ... 1.97 states/eV per cell

Cell: 4.2166 4.2166 6.8172 Å, 90.00 90.00 120.00°
Sites, in units of the cell vectors:
1 Y 0.0000 0.0000 0.0000
2 Mg 0.0000 0.0000 0.5000
3 Cu 0.3333 0.6667 0.6949
4 Cu 0.6667 0.3333 0.3051
5 Ge 0.3333 0.6667 0.2575
6 Ge 0.6667 0.3333 0.7425


No. 5
# Y2MgCu4Ge3

A relaxed Y2MgCu4Ge3 crystal (PBE-GGA, Alexandria).

Values from the calculation:
Calculated total energy ... -4.944 eV per atom
ρ ... 6.393 g/cm3
Energy of formation from the pure elements ... -0.47 eV per atom
Size of the total moment ... 0.0 μB per formula unit
Volume ... 17.512 Å³/atom
D(E_F) ... 3.54 states/eV per cell

Cell: 4.0955 4.0955 10.4406 Å, 90.00 90.00 90.00°
Sites, in units of the cell vectors:
1 Y 0.5000 0.0000 0.2329
2 Y 0.0000 0.5000 0.7671
3 Mg 0.5000 0.5000 0.5000
4 Cu 0.5000 0.5000 0.0000
5 Cu 0.0000 0.0000 0.0000
6 Cu 0.5000 0.0000 0.6427
7 Cu 0.0000 0.5000 0.3573
8 Ge 0.0000 0.0000 0.5000
9 Ge 0.5000 0.0000 0.8678
10 Ge 0.0000 0.5000 0.1322


No. 6
# MgZnCuGe

A relaxed MgZnCuGe crystal (PBE-GGA, Alexandria).

Values from the calculation:
Calculated total energy ... -2.822 eV per atom
ρ ... 5.716 g/cm3
Energy of formation from the pure elements ... 0.07 eV per atom
Size of the total moment ... 0.0 μB per formula unit
Volume ... 16.406 Å³/atom
D(E_F) ... 2.57 states/eV per cell

Cell: 4.5275 4.5275 4.5275 Å, 60.00 60.00 60.00°
Sites, in units of the cell vectors:
1 Mg 0.5000 0.5000 0.5000
2 Ge 0.0000 0.0000 0.0000
3 Zn 0.2500 0.2500 0.2500
4 Cu 0.7500 0.7500 0.7500


> Which of these has the lowest D(E_F)?

TmMg2Cu2Ge2